The following is a DFT calculation (PBE+U) of a relaxed structure of Li2MnCrP2O8.

CIF file:
```
data_Li2MnCrP2O8
_chemical_formula_sum 'Li4 Mn2 Cr2 P4 O16'
_space_group_name_H-M_alt 'P 1 21/m 1'
_space_group_IT_number 11
_cell_length_a 4.787
_cell_length_b 6.266
_cell_length_c 10.415
_cell_angle_alpha 90.00
_cell_angle_beta 91.51
_cell_angle_gamma 90.00
loop_
_space_group_symop_operation_xyz
'x,y,z'
'-x,-y,-z'
'-x,y+1/2,-z'
'x,-y+1/2,z'
loop_
_atom_site_label
_atom_site_fract_x
_atom_site_fract_y
_atom_site_fract_z
Li1 0.000 0.000 0.000
Li2 0.500 0.000 0.500
Mn1 0.030 0.250 0.282
Cr1 0.448 0.250 0.784
P1 0.095 0.750 0.404
P2 0.417 0.750 0.910
O1 0.211 0.750 0.545
O2 0.223 0.549 0.338
O3 0.229 0.250 0.605
O4 0.262 0.250 0.093
O5 0.279 0.554 0.841
O6 0.304 0.750 0.050
```

The total magnetization comes out at 18.00 μB per cell. The density is 3.3 g cm⁻³. As for the density of states at the Fermi level: 0.00 states/eV/cell. As for the calculated volume: 312.3 Å³/cell. The value obtained for the total energy is -7.157 eV/atom.